(1)
A plane-wave DFT calculation with PBE was carried out for a relaxed structure of HfBeFeSn.

Values from the calculation:
As for the crystal system: cubic. Its total energy is -6.5743 eV per atom. The value obtained for the relative energy among the computed polymorphs is 0.0000 eV/atom. Its space-group type is F-43m. The value obtained for the total magnetization is 0.00 μB per cell. For the density, the calculation gives 10.2 g/cm³.

Cell and atoms, written as POSCAR:
```
HfBeFeSn
1.0
0.000 3.092 3.092
3.092 0.000 3.092
3.092 3.092 0.000
Hf Be Fe Sn
1 1 1 1
direct
0.000 0.000 0.000 Hf
0.250 0.250 0.250 Be
0.750 0.750 0.750 Fe
0.500 0.500 0.500 Sn
```

---

(2)
A plane-wave DFT calculation with PBE was carried out for a relaxed structure of HfBeFeSn.

Values from the calculation:
As for the crystal system: cubic. Its total energy is -6.2366 eV per atom. The value obtained for the relative energy among the computed polymorphs is 0.3377 eV/atom. Its space-group type is F-43m. The value obtained for the total magnetization is 1.39 μB per cell. For the density, the calculation gives 9.3 g/cm³.

Cell and atoms, written as POSCAR:
```
HfBeFeSn
1.0
0.000 3.185 3.185
3.185 0.000 3.185
3.185 3.185 0.000
Hf Be Fe Sn
1 1 1 1
direct
0.000 0.000 0.000 Hf
0.500 0.500 0.500 Be
0.750 0.750 0.750 Fe
0.250 0.250 0.250 Sn
```

---

(3)
A plane-wave DFT calculation with PBE was carried out for a relaxed structure of HfBeTlFe.

Values from the calculation:
As for the crystal system: cubic. Its total energy is -5.8058 eV per atom. The value obtained for the relative energy among the computed polymorphs is 0.0000 eV/atom. Its space-group type is F-43m. The value obtained for the total magnetization is 1.24 μB per cell. For the density, the calculation gives 11.8 g/cm³.

Cell and atoms, written as POSCAR:
```
HfBeTlFe
1.0
0.000 3.158 3.158
3.158 0.000 3.158
3.158 3.158 0.000
Hf Be Tl Fe
1 1 1 1
direct
0.000 0.000 0.000 Hf
0.250 0.250 0.250 Be
0.500 0.500 0.500 Tl
0.750 0.750 0.750 Fe
```

---

(4)
A plane-wave DFT calculation with PBE was carried out for a relaxed structure of HfBeTlFe.

Values from the calculation:
As for the crystal system: cubic. Its total energy is -5.6269 eV per atom. The value obtained for the relative energy among the computed polymorphs is 0.1789 eV/atom. Its space-group type is F-43m. The value obtained for the total magnetization is 1.81 μB per cell. For the density, the calculation gives 11.3 g/cm³.

Cell and atoms, written as POSCAR:
```
HfBeTlFe
1.0
0.000 3.201 3.201
3.201 0.000 3.201
3.201 3.201 0.000
Hf Be Tl Fe
1 1 1 1
direct
0.000 0.000 0.000 Hf
0.750 0.750 0.750 Be
0.250 0.250 0.250 Tl
0.500 0.500 0.500 Fe
```

---

Q: The lowest density belongs to which entry?
A: number 2